# LiSc2Ta

A relaxed LiSc2Ta crystal (PBE-GGA, Alexandria).

The structure in POSCAR format:
```
LiSc2Ta
1.0
-1.1524 5.3259 1.0458
-2.3464 3.7139 3.3894
3.7068 1.8038 3.1292
Li Sc Ta
1 2 1
Cartesian
0.2443 8.3310 5.8547
3.4388 1.8780 3.0436
0.3292 2.6674 2.0024
0.0066 5.1929 3.5751
```

Space group = Cm
Size of the total moment = 0.000 Bohr magnetons per cell
Offset from the most stable computed form = 103.7 meV/atom
Formation enthalpy at 0 K = 0.23 eV/atom